[1]
Density functional theory data (PBE) for a relaxed structure of CsKNbSe4.

Summary:
The space-group type is P2_1/m, No. 11. The total magnetic moment comes out at 0.0 μB/cell. Its density is 3.55 g cm⁻³. The energy relative to the elements, uncorrected is -0.921 eV/atom.

Unit cell a=7.932 b=6.402 c=11.028 alpha=90.00 beta=103.93 gamma=90.00
Positions (direct):
Cs: 0.236 0.250 0.465
Cs: 0.764 0.750 0.535
K: 0.270 0.250 0.945
K: 0.730 0.750 0.055
Nb: 0.271 0.750 0.190
Nb: 0.729 0.250 0.810
Se: 0.064 0.750 0.319
Se: 0.136 0.750 0.973
Se: 0.493 0.024 0.247
Se: 0.493 0.476 0.247
Se: 0.507 0.524 0.753
Se: 0.507 0.976 0.753
Se: 0.864 0.250 0.027
Se: 0.936 0.250 0.681


[2]
Density functional theory data (PBE) for a relaxed structure of CaMn2Ag.

Summary:
The space-group type is Imm2, No. 44. The total magnetic moment comes out at 7.5 μB/cell. As for the formation energy: 0.448 eV per atom. Its density is 5.47 g cm⁻³.

Unit cell a=5.443 b=5.443 c=5.443 alpha=139.91 beta=130.12 gamma=65.83
Positions (direct):
Ca: 0.000 0.000 0.000
Mn: 0.267 0.767 0.500
Mn: 0.511 0.511 0.000
Ag: 0.740 0.240 0.500


[3]
Density functional theory data (PBE) for a relaxed structure of Mg2Ga12Pt7.

Summary:
The space-group type is P-6, No. 174. The total magnetic moment comes out at 0.0 μB/cell. As for the formation energy: -0.581 eV per atom. Its density is 10.55 g cm⁻³.

Unit cell a=10.688 b=10.688 c=3.581 alpha=90.00 beta=90.00 gamma=120.00
Positions (direct):
Mg: 0.000 0.000 0.000
Mg: 0.333 0.667 0.500
Ga: 0.054 0.770 0.500
Ga: 0.116 0.390 0.000
Ga: 0.230 0.284 0.500
Ga: 0.274 0.884 0.000
Ga: 0.390 0.226 0.000
Ga: 0.513 0.103 0.500
Ga: 0.590 0.487 0.500
Ga: 0.610 0.726 0.000
Ga: 0.716 0.946 0.500
Ga: 0.774 0.164 0.000
Ga: 0.836 0.610 0.000
Ga: 0.897 0.410 0.500
Pt: 0.079 0.605 0.000
Pt: 0.233 0.042 0.500
Pt: 0.395 0.474 0.000
Pt: 0.526 0.921 0.000
Pt: 0.667 0.333 0.000
Pt: 0.808 0.767 0.500
Pt: 0.958 0.192 0.500